[1]
A geometry-optimized TbHo7Hg4 structure, computed with PBE.

Values from the calculation:
M_tot: 0.0 μB/f.u.
DFT formation energy: -0.096 eV per atom
density of states at the Fermi level: 1.046 states/eV per atom

a b c (Å): 7.8068 7.8068 9.7078
angles (deg): 119.79 119.79 42.50
Positions (direct):
Tb  0.0000  0.0000  0.0000
Ho  0.0668  0.0668  0.4058
Ho  0.2080  0.2080  0.8843
Ho  0.2674  0.2674  0.3151
Ho  0.5000  0.5000  0.0000
Ho  0.7326  0.7326  0.6849
Ho  0.7920  0.7920  0.1157
Ho  0.9332  0.9332  0.5942
Hg  0.3112  0.3112  0.6608
Hg  0.4532  0.4532  0.2742
Hg  0.5468  0.5468  0.7258
Hg  0.6888  0.6888  0.3392

=====

[2]
A geometry-optimized Tb8HoHg2 structure, computed with PBE.

Values from the calculation:
M_tot: 0.0 μB/f.u.
DFT formation energy: -0.051 eV per atom
density of states at the Fermi level: 1.307 states/eV per atom

a b c (Å): 8.6762 8.6762 5.5531
angles (deg): 100.43 100.43 119.00
Positions (direct):
Tb  0.0924  0.3200  0.6059
Tb  0.2239  0.7761  0.0000
Tb  0.3200  0.0924  0.6059
Tb  0.3979  0.3979  0.2003
Tb  0.6021  0.6021  0.7997
Tb  0.6800  0.9076  0.3941
Tb  0.7761  0.2239  0.0000
Tb  0.9076  0.6800  0.3941
Ho  0.0000  0.0000  0.0000
Hg  0.3059  0.6941  0.5000
Hg  0.6941  0.3059  0.5000

=====

[3]
A geometry-optimized TbHoHg4 structure, computed with PBE.

Values from the calculation:
M_tot: 0.0 μB/f.u.
DFT formation energy: -0.191 eV per atom
offset from the most stable computed form: 1.22 eV per formula unit
density of states at the Fermi level: 0.859 states/eV per atom

a b c (Å): 5.9449 5.9449 5.9449
angles (deg): 60.00 60.00 60.00
Positions (direct):
Tb  0.0000  0.0000  0.0000
Ho  0.2500  0.2500  0.2500
Hg  0.1250  0.6250  0.6250
Hg  0.6250  0.1250  0.6250
Hg  0.6250  0.6250  0.1250
Hg  0.6250  0.6250  0.6250

=====

[4]
A geometry-optimized Tb2Ho8Hg structure, computed with PBE.

Values from the calculation:
M_tot: 0.0 μB/f.u.
DFT formation energy: -0.048 eV per atom
offset from the most stable computed form: 0.00 eV per formula unit
density of states at the Fermi level: 1.424 states/eV per atom

a b c (Å): 10.0045 10.0045 6.3531
angles (deg): 95.16 95.16 32.01
Positions (direct):
Tb  0.2434  0.2434  0.3316
Tb  0.7566  0.7566  0.6684
Ho  0.0438  0.0438  0.2658
Ho  0.1551  0.1551  0.8010
Ho  0.3412  0.3412  0.8757
Ho  0.4223  0.4223  0.3967
Ho  0.5777  0.5777  0.6033
Ho  0.6588  0.6588  0.1243
Ho  0.8449  0.8449  0.1990
Ho  0.9562  0.9562  0.7342
Hg  0.5000  0.5000  0.0000

=====

[5]
A geometry-optimized TbHoHg4 structure, computed with PBE.

Values from the calculation:
M_tot: 0.0 μB/f.u.
DFT formation energy: -0.394 eV per atom
offset from the most stable computed form: 0.00 eV per formula unit
density of states at the Fermi level: 0.513 states/eV per atom

a b c (Å): 5.2005 7.5585 7.5585
angles (deg): 30.02 90.00 90.00
Positions (direct):
Tb  0.0000  0.0000  0.0000
Ho  0.5000  0.7914  0.7914
Hg  0.0000  0.3307  0.3307
Hg  0.0000  0.6663  0.6663
Hg  0.5000  0.1263  0.1263
Hg  0.5000  0.4594  0.4594

=====

[6]
A geometry-optimized Tb3Ho3Hg2 structure, computed with PBE.

Values from the calculation:
M_tot: 0.0 μB/f.u.
DFT formation energy: -0.166 eV per atom
density of states at the Fermi level: 1.269 states/eV per atom

a b c (Å): 6.3796 6.3796 15.7473
angles (deg): 90.00 90.00 132.39
Positions (direct):
Tb  0.0407  0.9593  0.6074
Tb  0.0407  0.9593  0.8926
Tb  0.2814  0.7186  0.7500
Tb  0.7186  0.2814  0.2500
Tb  0.9593  0.0407  0.1074
Tb  0.9593  0.0407  0.3926
Ho  0.3574  0.6426  0.5330
Ho  0.3574  0.6426  0.9670
Ho  0.4302  0.5698  0.2500
Ho  0.5698  0.4302  0.7500
Ho  0.6426  0.3574  0.0330
Ho  0.6426  0.3574  0.4670
Hg  0.2276  0.7724  0.1285
Hg  0.2276  0.7724  0.3715
Hg  0.7724  0.2276  0.6285
Hg  0.7724  0.2276  0.8715

=====

[7]
A geometry-optimized TbHoHg structure, computed with PBE.

Values from the calculation:
M_tot: 1.0 μB/f.u.
DFT formation energy: -0.302 eV per atom
offset from the most stable computed form: 0.18 eV per formula unit
density of states at the Fermi level: 1.131 states/eV per atom

a b c (Å): 6.9067 6.9067 6.9067
angles (deg): 149.67 149.67 43.43
Positions (direct):
Tb  0.0000  0.0000  0.0000
Ho  0.3080  0.3080  0.0000
Hg  0.6569  0.6569  0.0000

=====

[8]
A geometry-optimized Tb3HoHg3 structure, computed with PBE.

Values from the calculation:
M_tot: 0.0 μB/f.u.
DFT formation energy: -0.279 eV per atom
density of states at the Fermi level: 1.311 states/eV per atom

a b c (Å): 9.3049 9.3049 5.1527
angles (deg): 90.00 90.00 120.00
Positions (direct):
Tb  0.0094  0.7632  0.2500
Tb  0.2368  0.2462  0.2500
Tb  0.2462  0.0094  0.7500
Tb  0.7538  0.9906  0.2500
Tb  0.7632  0.7538  0.7500
Tb  0.9906  0.2368  0.7500
Ho  0.3333  0.6667  0.7500
Ho  0.6667  0.3333  0.2500
Hg  0.0532  0.4421  0.2500
Hg  0.3889  0.9468  0.2500
Hg  0.4421  0.3889  0.7500
Hg  0.5579  0.6111  0.2500
Hg  0.6111  0.0532  0.7500
Hg  0.9468  0.5579  0.7500

=====

[9]
A geometry-optimized Tb5HoHg2 structure, computed with PBE.

Values from the calculation:
M_tot: 0.0 μB/f.u.
DFT formation energy: -0.153 eV per atom
density of states at the Fermi level: 0.919 states/eV per atom

a b c (Å): 8.2459 8.2459 8.2459
angles (deg): 154.32 102.15 83.59
Positions (direct):
Tb  0.0000  0.0000  0.0000
Tb  0.0866  0.3633  0.7234
Tb  0.3601  0.6367  0.7234
Tb  0.6399  0.3633  0.2766
Tb  0.9134  0.6367  0.2766
Ho  0.5000  0.0000  0.5000
Hg  0.2684  0.2684  0.0000
Hg  0.7316  0.7316  0.0000

=====

[10]
A geometry-optimized TbHo3Hg6 structure, computed with PBE.

Values from the calculation:
M_tot: 0.0 μB/f.u.
DFT formation energy: -0.427 eV per atom
density of states at the Fermi level: 0.640 states/eV per atom

a b c (Å): 9.1415 5.1448 11.0878
angles (deg): 90.00 106.72 90.00
Positions (direct):
Tb  0.0628  0.2500  0.3889
Tb  0.9372  0.7500  0.6111
Ho  0.2301  0.2500  0.0068
Ho  0.3530  0.7500  0.7999
Ho  0.4838  0.2500  0.6125
Ho  0.5162  0.7500  0.3875
Ho  0.6470  0.2500  0.2001
Ho  0.7699  0.7500  0.9932
Hg  0.0635  0.7500  0.9000
Hg  0.1397  0.7500  0.2013
Hg  0.1648  0.2500  0.6888
Hg  0.2459  0.7500  0.5128
Hg  0.3517  0.2500  0.2972
Hg  0.4640  0.7500  0.0915
Hg  0.5360  0.2500  0.9085
Hg  0.6483  0.7500  0.7028
Hg  0.7541  0.2500  0.4872
Hg  0.8352  0.7500  0.3112
Hg  0.8603  0.2500  0.7987
Hg  0.9365  0.2500  0.1000

=====

[11]
A geometry-optimized TbHoHg4 structure, computed with PBE.

Values from the calculation:
M_tot: 0.2 μB/f.u.
DFT formation energy: -0.342 eV per atom
offset from the most stable computed form: 0.32 eV per formula unit
density of states at the Fermi level: 0.646 states/eV per atom

a b c (Å): 6.1909 6.1909 7.2934
angles (deg): 107.16 107.16 34.03
Positions (direct):
Tb  0.0000  0.0000  0.0000
Ho  0.0000  0.0000  0.5000
Hg  0.3320  0.3320  0.1678
Hg  0.3329  0.3329  0.6638
Hg  0.6671  0.6671  0.3362
Hg  0.6680  0.6680  0.8322

=====

[12]
A geometry-optimized TbHo5Hg3 structure, computed with PBE.

Values from the calculation:
M_tot: 0.0 μB/f.u.
DFT formation energy: -0.311 eV per atom
density of states at the Fermi level: 0.437 states/eV per atom

a b c (Å): 9.0429 9.0429 6.9142
angles (deg): 90.00 90.00 120.00
Positions (direct):
Tb  0.0000  0.0000  0.0000
Tb  0.0000  0.0000  0.5000
Ho  0.0000  0.3337  0.2500
Ho  0.0000  0.6663  0.7500
Ho  0.3333  0.6667  0.0000
Ho  0.3333  0.6667  0.5000
Ho  0.3337  0.0000  0.2500
Ho  0.3337  0.3337  0.7500
Ho  0.6663  0.0000  0.7500
Ho  0.6663  0.6663  0.2500
Ho  0.6667  0.3333  0.0000
Ho  0.6667  0.3333  0.5000
Hg  0.0000  0.3336  0.7500
Hg  0.0000  0.6664  0.2500
Hg  0.3336  0.0000  0.7500
Hg  0.3336  0.3336  0.2500
Hg  0.6664  0.0000  0.2500
Hg  0.6664  0.6664  0.7500

=====

- Which of these has the lowest DFT formation energy?
  TbHo3Hg6

=====

- Look up the DFT formation energy of the second one.
  -0.051 eV per atom

=====

- Which formula does entry 11 have?
  TbHoHg4